Er3Mg4Ag | GGA-PBE | optimized geometry

Results
ΔH_f (0 K) = -0.09 eV per atom
V = 24.7 Å³ per atom
space-group type = No. 123
total moment = 0.00 μB per formula unit

Unit cell a=3.639 b=3.639 c=14.913 alpha=90.00 beta=90.00 gamma=90.00
Atoms (fractional coordinates):
Mg (0.000, 0.000, 0.898)
Mg (0.000, 0.000, 0.102)
Mg (0.000, 0.000, 0.370)
Mg (0.000, 0.000, 0.630)
Ag (0.500, 0.500, 0.000)
Er (0.500, 0.500, 0.241)
Er (0.500, 0.500, 0.500)
Er (0.500, 0.500, 0.759)